(1)
Here is a geometry-optimized PuTiF5 structure from Alexandria via LeMat-Bulk. Energies are from GGA-PBE.

It has space group C2/c (No. 15), with a = 9.384 Å, b = 6.768 Å, c = 8.135 Å, α = 90.00°, β = 114.75° and γ = 90.00°. Symmetry generates all atoms from Pu at (0.000, 0.040, 0.250), Ti at (0.000, 0.500, 0.000), F at (0.000, 0.411, 0.250), F at (0.015, 0.196, 0.533) and F at (0.232, 0.483, 0.110).

The total energy comes out at -7.7889 eV/atom. As for the density: 5.48 g/cm3. The calculation puts the energy relative to the elements, uncorrected at -3.277 eV/atom. Its calculated volume is 16.8 Å³/atom.

(2)
Here is a geometry-optimized Pu2TlF8 structure from Alexandria via LeMat-Bulk. Energies are from GGA-PBE.

It has space group C2/m (No. 12), with a = 7.155 Å, b = 11.245 Å, c = 4.495 Å, α = 90.00°, β = 96.79° and γ = 90.00°. Symmetry generates all atoms from Pu at (0.000, 0.174, 0.000), Tl at (0.000, 0.500, 0.500), F at (0.000, 0.219, 0.500), F at (0.106, 0.000, 0.247) and F at (0.188, 0.349, 0.076).

The total energy comes out at -7.4535 eV/atom. As for the density: 7.81 g/cm3. The calculation puts the energy relative to the elements, uncorrected at -3.272 eV/atom. Its calculated volume is 16.3 Å³/atom. As for the excess energy over the best structure of this formula in the dataset: 0.00 kJ per mole of atoms.

(3)
Here is a geometry-optimized Pu2Tl3F9 structure from Alexandria via LeMat-Bulk. Energies are from GGA-PBE.

It has space group R-3c (No. 167, hexagonal axes), with a = 11.4637 Å, b = 11.4637 Å, c = 14.7735 Å, α = 90.00°, β = 90.00° and γ = 120.00°. Symmetry generates all atoms from Pu at (0.0000, 0.0000, 0.1320), Tl at (0.0000, 0.3259, 0.2500), F at (0.0000, 0.1391, 0.7500) and F at (0.0309, 0.1934, 0.4229).

The total energy comes out at -6.4820 eV/atom. As for the density: 7.54 g/cm3. The calculation puts the energy relative to the elements, uncorrected at -2.725 eV/atom. Its calculated volume is 20.0 Å³/atom.

(4)
Here is a geometry-optimized Pu2TlF7 structure from Alexandria via LeMat-Bulk. Energies are from GGA-PBE.

It has space group Cmmm (No. 65), with a = 7.376 Å, b = 12.033 Å, c = 4.557 Å, α = 90.00°, β = 90.00° and γ = 90.00°. Symmetry generates all atoms from Pu at (0.000, 0.190, 0.000), Tl at (0.000, 0.500, 0.500), F at (0.000, 0.000, 0.000), F at (0.000, 0.202, 0.500) and F at (0.187, 0.354, 0.000).

The total energy comes out at -7.6439 eV/atom. As for the density: 6.78 g/cm3. The calculation puts the energy relative to the elements, uncorrected at -3.231 eV/atom. Its calculated volume is 20.2 Å³/atom.

(5)
Here is a geometry-optimized Pu2TlF11 structure from Alexandria via LeMat-Bulk. Energies are from GGA-PBE.

It has space group Ibam (No. 72), with a = 9.792 Å, b = 10.180 Å, c = 12.018 Å, α = 90.00°, β = 90.00° and γ = 90.00°. Symmetry generates all atoms from Pu at (0.155, 0.161, 0.000), Tl at (0.000, 0.500, 0.250), F at (0.000, 0.000, 0.000), F at (0.055, 0.264, 0.122), F at (0.200, 0.194, 0.500) and F at (0.237, 0.435, 0.379).

The total energy comes out at -6.6760 eV/atom. As for the density: 5.00 g/cm3. The calculation puts the energy relative to the elements, uncorrected at -2.989 eV/atom. Its calculated volume is 21.4 Å³/atom.

(6)
Here is a geometry-optimized PuTl3F6 structure from Alexandria via LeMat-Bulk. Energies are from GGA-PBE.

It has space group Fmmm (No. 69), with a = 8.066 Å, b = 9.681 Å, c = 12.147 Å, α = 90.00°, β = 90.00° and γ = 90.00°. Symmetry generates all atoms from Pu at (0.000, 0.000, 0.000), Tl at (0.000, 0.000, 0.500), Tl at (0.250, 0.250, 0.250), F at (0.000, 0.227, 0.000) and F at (0.205, 0.000, 0.127).

The total energy comes out at -5.7275 eV/atom. As for the density: 6.80 g/cm3. The calculation puts the energy relative to the elements, uncorrected at -2.462 eV/atom. Its calculated volume is 23.7 Å³/atom. As for the excess energy over the best structure of this formula in the dataset: 3.26 kJ per mole of atoms.

(7)
Here is a geometry-optimized PuTl6F12 structure from Alexandria via LeMat-Bulk. Energies are from GGA-PBE.

It has space group R-3 (No. 148, hexagonal axes), with a = 11.7597 Å, b = 11.7597 Å, c = 10.9252 Å, α = 90.00°, β = 90.00° and γ = 120.00°. Symmetry generates all atoms from Pu at (0.0000, 0.0000, 0.0000), Tl at (0.0284, 0.7892, 0.6357), F at (0.0244, 0.8666, 0.8911) and F at (0.0288, 0.8165, 0.3991).

The total energy comes out at -4.8905 eV/atom. As for the density: 6.47 g/cm3. The calculation puts the energy relative to the elements, uncorrected at -2.207 eV/atom. Its calculated volume is 23.0 Å³/atom.

(8)
Here is a geometry-optimized PuTlF5 structure from Alexandria via LeMat-Bulk. Energies are from GGA-PBE.

It has space group C2/m (No. 12), with a = 5.473 Å, b = 5.478 Å, c = 7.444 Å, α = 90.00°, β = 90.36° and γ = 90.00°. Symmetry generates all atoms from Pu at (0.000, 0.000, 0.000), Tl at (0.000, 0.500, 0.500), F at (0.000, 0.000, 0.500) and F at (0.249, 0.251, 0.166).

The total energy comes out at -6.6272 eV/atom. As for the density: 8.09 g/cm3. The calculation puts the energy relative to the elements, uncorrected at -2.905 eV/atom. Its calculated volume is 15.9 Å³/atom.

(9)
Here is a geometry-optimized Pu3TlF10 structure from Alexandria via LeMat-Bulk. Energies are from GGA-PBE.

It has space group Fm-3m (No. 225), with a = 12.216 Å, b = 12.216 Å, c = 12.216 Å, α = 90.00°, β = 90.00° and γ = 90.00°. Symmetry generates all atoms from Pu at (0.000, 0.000, 0.240), Tl at (0.250, 0.250, 0.250), F at (0.000, 0.165, 0.335) and F at (0.112, 0.112, 0.112).

The total energy comes out at -7.9259 eV/atom. As for the density: 8.21 g/cm3. The calculation puts the energy relative to the elements, uncorrected at -3.349 eV/atom. Its calculated volume is 16.3 Å³/atom.

(10)
Here is a geometry-optimized PuTl3F7 structure from Alexandria via LeMat-Bulk. Energies are from GGA-PBE.

It has space group Cm (No. 8), with a = 9.027 Å, b = 8.631 Å, c = 7.313 Å, α = 90.00°, β = 122.03° and γ = 90.00°. Symmetry generates all atoms from Pu at (0.000, 0.000, 0.000), Tl at (0.451, 0.000, 0.966), Tl at (0.459, 0.252, 0.461), F at (0.103, 0.000, 0.785), F at (0.105, 0.211, 0.208), F at (0.328, 0.326, 0.774), F at (0.333, 0.000, 0.214) and F at (0.346, 0.500, 0.152).

The total energy comes out at -5.7296 eV/atom. As for the density: 6.81 g/cm3. The calculation puts the energy relative to the elements, uncorrected at -2.591 eV/atom. Its calculated volume is 22.0 Å³/atom.

(11)
Here is a geometry-optimized Pu2TlF structure from Alexandria via LeMat-Bulk. Energies are from GGA-PBE.

It has space group R-3m (No. 166, hexagonal axes), with a = 4.1984 Å, b = 4.1984 Å, c = 16.4510 Å, α = 90.00°, β = 90.00° and γ = 120.00°. Symmetry generates all atoms from Pu at (0.0000, 0.0000, 0.1888), Tl at (0.0000, 0.0000, 0.0000) and F at (0.0000, 0.0000, 0.5000).

The total energy comes out at -8.3769 eV/atom. As for the density: 14.11 g/cm3. The calculation puts the energy relative to the elements, uncorrected at -0.152 eV/atom. Its calculated volume is 20.9 Å³/atom. As for the excess energy over the best structure of this formula in the dataset: 66.26 kJ per mole of atoms.

(12)
Here is a geometry-optimized Pu2TlF structure from Alexandria via LeMat-Bulk. Energies are from GGA-PBE.

It has space group P4/mmm (No. 123), with a = 3.183 Å, b = 3.183 Å, c = 8.745 Å, α = 90.00°, β = 90.00° and γ = 90.00°. Symmetry generates all atoms from Pu at (0.000, 0.000, 0.217), Tl at (0.500, 0.500, 0.500) and F at (0.500, 0.500, 0.000).

The total energy comes out at -9.0636 eV/atom. As for the density: 13.33 g/cm3. The calculation puts the energy relative to the elements, uncorrected at -0.838 eV/atom. Its calculated volume is 22.1 Å³/atom. As for the excess energy over the best structure of this formula in the dataset: 0.00 kJ per mole of atoms.

(13)
Here is a geometry-optimized Pu2TlF8 structure from Alexandria via LeMat-Bulk. Energies are from GGA-PBE.

It has space group C2/m (No. 12), with a = 12.276 Å, b = 7.502 Å, c = 4.032 Å, α = 90.00°, β = 104.88° and γ = 90.00°. Symmetry generates all atoms from Pu at (0.167, 0.000, 0.408), Tl at (0.000, 0.500, 0.000), F at (0.057, 0.000, 0.804), F at (0.145, 0.289, 0.442) and F at (0.236, 0.500, 0.014).

The total energy comes out at -7.3996 eV/atom. As for the density: 7.81 g/cm3. The calculation puts the energy relative to the elements, uncorrected at -3.218 eV/atom. Its calculated volume is 16.3 Å³/atom. As for the excess energy over the best structure of this formula in the dataset: 5.20 kJ per mole of atoms.

(14)
Here is a geometry-optimized PuTl2F4 structure from Alexandria via LeMat-Bulk. Energies are from GGA-PBE.

It has space group I4/mmm (No. 139), with a = 4.591 Å, b = 4.591 Å, c = 18.453 Å, α = 90.00°, β = 90.00° and γ = 90.00°. Symmetry generates all atoms from Pu at (0.000, 0.000, 0.000), Tl at (0.000, 0.000, 0.254), F at (0.000, 0.000, 0.119) and F at (0.000, 0.500, 0.000).

The total energy comes out at -6.2761 eV/atom. As for the density: 6.22 g/cm3. The calculation puts the energy relative to the elements, uncorrected at -2.483 eV/atom. Its calculated volume is 27.8 Å³/atom.

(15)
Here is a geometry-optimized PuTl3F6 structure from Alexandria via LeMat-Bulk. Energies are from GGA-PBE.

It has space group P2_1/c (No. 14), with a = 6.670 Å, b = 7.029 Å, c = 11.533 Å, α = 90.00°, β = 123.93° and γ = 90.00°. Symmetry generates all atoms from Pu at (0.000, 0.000, 0.000), Tl at (0.276, 0.040, 0.764), Tl at (0.500, 0.000, 0.500), F at (0.102, 0.067, 0.221), F at (0.248, 0.738, 0.081) and F at (0.335, 0.158, 0.036).

The total energy comes out at -5.7613 eV/atom. As for the density: 7.19 g/cm3. The calculation puts the energy relative to the elements, uncorrected at -2.495 eV/atom. Its calculated volume is 22.4 Å³/atom. As for the excess energy over the best structure of this formula in the dataset: 0.00 kJ per mole of atoms.

(16)
Here is a geometry-optimized Pu6Tl4F19 structure from Alexandria via LeMat-Bulk. Energies are from GGA-PBE.

It has space group I23 (No. 197), with a = 11.035 Å, b = 11.035 Å, c = 11.035 Å, α = 90.00°, β = 90.00° and γ = 90.00°. Symmetry generates all atoms from Pu at (0.000, 0.173, 0.500), Tl at (0.139, 0.139, 0.139), F at (0.000, 0.000, 0.000), F at (0.000, 0.000, 0.371) and F at (0.033, 0.289, 0.324).

The total energy comes out at -7.4590 eV/atom. As for the density: 6.53 g/cm3. The calculation puts the energy relative to the elements, uncorrected at -2.941 eV/atom. Its calculated volume is 23.2 Å³/atom.